## RbVGe3 (PBE-GGA)

Data for a relaxed structure of RbVGe3. Values from VASP.

- Formation energy: -0.002 eV per atom
- E above lowest polymorph: 0 meV per atom
- Space group: Pm-3m (221)
- DOS(E_F): 2.24 states/eV per cell

Structure (Quantum ESPRESSO input):
```
&SYSTEM
  ibrav = 0, nat = 5, ntyp = 3
/
ATOMIC_SPECIES
Rb 85.47 Rb.upf
V 50.94 V.upf
Ge 72.64 Ge.upf
CELL_PARAMETERS angstrom
4.881 0.000 0.000
0.000 4.881 0.000
0.000 0.000 4.881
ATOMIC_POSITIONS angstrom
Rb 0.000 0.000 0.000
V 2.441 2.441 2.441
Ge 0.000 2.441 2.441
Ge 2.441 0.000 2.441
Ge 2.441 2.441 0.000
```